No. 1
# PrY4Sc2, relaxed, DFT PBE
# DFT formation energy	0.141	eV/atom
# excess energy over the best structure of this formula in the dataset	0.00	eV per formula unit
data_PrY4Sc2
_chemical_formula_sum 'Pr2 Y8 Sc4'
_cell_length_a 5.6607
_cell_length_b 6.6917
_cell_length_c 11.6232
_cell_angle_alpha 90.00
_cell_angle_beta 103.44
_cell_angle_gamma 90.00
_symmetry_space_group_name_H-M 'P 1 21/m 1'
_symmetry_Int_Tables_number 11
loop_
_symmetry_equiv_pos_as_xyz
'x,y,z'
'-x,-y,-z'
'-x,y+1/2,-z'
'x,-y+1/2,z'
loop_
_atom_site_label
_atom_site_fract_x
_atom_site_fract_y
_atom_site_fract_z
Pr1 0.0109 0.2500 0.3670
Y1 0.1198 0.2500 0.6591
Y2 0.2347 0.7500 0.9261
Y3 0.3458 0.5023 0.2049
Sc1 0.1994 0.2500 0.9366
Sc2 0.4335 0.7500 0.5061



No. 2
# PrY14Sc, relaxed, DFT PBE
# DFT formation energy	0.030	eV/atom
data_PrY14Sc
_chemical_formula_sum 'Pr1 Y14 Sc1'
_cell_length_a 7.1306
_cell_length_b 7.1306
_cell_length_c 10.0397
_cell_angle_alpha 90.00
_cell_angle_beta 90.00
_cell_angle_gamma 90.00
_symmetry_space_group_name_H-M 'P 4/m m m'
_symmetry_Int_Tables_number 123
_symmetry_space_group_name_Hall '-P 4 2'
loop_
_atom_site_label
_atom_site_fract_x
_atom_site_fract_y
_atom_site_fract_z
Pr1 0.0000 0.0000 0.0000
Y1 0.0000 0.0000 0.5000
Y2 0.0000 0.5000 0.0000
Y3 0.0000 0.5000 0.5000
Y4 0.2526 0.2526 0.2479
Y5 0.5000 0.5000 0.5000
Sc1 0.5000 0.5000 0.0000



No. 3
# Pr5YSc4, relaxed, DFT PBE
# DFT formation energy	0.050	eV/atom
data_Pr5YSc4
_chemical_formula_sum 'Pr5 Y1 Sc4'
_cell_length_a 3.6427
_cell_length_b 3.6427
_cell_length_c 23.1760
_cell_angle_alpha 90.00
_cell_angle_beta 90.00
_cell_angle_gamma 90.00
_symmetry_space_group_name_H-M 'P 4/m m m'
_symmetry_Int_Tables_number 123
_symmetry_space_group_name_Hall '-P 4 2'
loop_
_atom_site_label
_atom_site_fract_x
_atom_site_fract_y
_atom_site_fract_z
Pr1 0.0000 0.0000 0.0000
Pr2 0.0000 0.0000 0.1947
Pr3 0.0000 0.0000 0.3905
Y1 0.5000 0.5000 0.5000
Sc1 0.5000 0.5000 0.0974
Sc2 0.5000 0.5000 0.2924



No. 4
# Pr2Y6Sc, relaxed, DFT PBE
# DFT formation energy	0.076	eV/atom
# excess energy over the best structure of this formula in the dataset	0.00	eV per formula unit
data_Pr2Y6Sc
_chemical_formula_sum 'Pr4 Y12 Sc2'
_cell_length_a 6.6812
_cell_length_b 8.6617
_cell_length_c 10.2382
_cell_angle_alpha 84.94
_cell_angle_beta 85.59
_cell_angle_gamma 83.89
_symmetry_space_group_name_H-M 'P -1'
_symmetry_Int_Tables_number 2
loop_
_symmetry_equiv_pos_as_xyz
'x,y,z'
'-x,-y,-z'
loop_
_atom_site_label
_atom_site_fract_x
_atom_site_fract_y
_atom_site_fract_z
Pr1 0.1124 0.0930 0.1151
Pr2 0.2002 0.4227 0.9073
Y1 0.0211 0.7135 0.3406
Y2 0.1540 0.6892 0.6517
Y3 0.2515 0.0258 0.4539
Y4 0.3289 0.7336 0.0510
Y5 0.3631 0.3778 0.2540
Y6 0.3665 0.0160 0.7944
Sc1 0.4759 0.3318 0.5944



No. 5
# Pr2Y4Sc, relaxed, DFT PBE
# DFT formation energy	0.224	eV/atom
# excess energy over the best structure of this formula in the dataset	0.21	eV per formula unit
data_Pr2Y4Sc
_chemical_formula_sum 'Pr4 Y8 Sc2'
_cell_length_a 8.8097
_cell_length_b 10.6375
_cell_length_c 5.1038
_cell_angle_alpha 90.00
_cell_angle_beta 90.00
_cell_angle_gamma 90.00
_symmetry_space_group_name_H-M 'C m m m'
_symmetry_Int_Tables_number 65
_symmetry_space_group_name_Hall '-C 2 2'
loop_
_atom_site_label
_atom_site_fract_x
_atom_site_fract_y
_atom_site_fract_z
Pr1 0.0000 0.1983 0.0000
Y1 0.2016 0.5000 0.0000
Y2 0.2500 0.2500 0.5000
Sc1 0.0000 0.0000 0.5000



No. 6
# PrYSc4, relaxed, DFT PBE
# DFT formation energy	0.071	eV/atom
# excess energy over the best structure of this formula in the dataset	0.00	eV per formula unit
data_PrYSc4
_chemical_formula_sum 'Pr4 Y4 Sc16'
_cell_length_a 6.5981
_cell_length_b 18.6139
_cell_length_c 5.3663
_cell_angle_alpha 90.00
_cell_angle_beta 90.00
_cell_angle_gamma 90.00
_symmetry_space_group_name_H-M 'C m c m'
_symmetry_Int_Tables_number 63
_symmetry_space_group_name_Hall '-C 2c 2'
loop_
_atom_site_label
_atom_site_fract_x
_atom_site_fract_y
_atom_site_fract_z
Pr1 0.0000 0.1232 0.2500
Y1 0.0000 0.3733 0.7500
Sc1 0.2454 0.4582 0.2500
Sc2 0.2487 0.2914 0.2500



No. 7
# PrY4Sc5, relaxed, DFT PBE
# DFT formation energy	0.243	eV/atom
data_PrY4Sc5
_chemical_formula_sum 'Pr2 Y8 Sc10'
_cell_length_a 10.1203
_cell_length_b 10.1203
_cell_length_c 5.7345
_cell_angle_alpha 90.00
_cell_angle_beta 90.00
_cell_angle_gamma 90.00
_symmetry_space_group_name_H-M 'I 4 m m'
_symmetry_Int_Tables_number 107
_symmetry_space_group_name_Hall 'I 4 -2'
loop_
_atom_site_label
_atom_site_fract_x
_atom_site_fract_y
_atom_site_fract_z
Pr1 0.0000 0.0000 0.0000
Y1 0.0000 0.3224 0.7336
Sc1 0.0000 0.0000 0.5241
Sc2 0.1891 0.1891 0.2740



No. 8
# PrY3Sc3, relaxed, DFT PBE
# DFT formation energy	0.038	eV/atom
# excess energy over the best structure of this formula in the dataset	0.00	eV per formula unit
data_PrY3Sc3
_chemical_formula_sum 'Pr2 Y6 Sc6'
_cell_length_a 9.3111
_cell_length_b 9.3111
_cell_length_c 5.5012
_cell_angle_alpha 90.00
_cell_angle_beta 90.00
_cell_angle_gamma 120.00
_symmetry_space_group_name_H-M 'P 63/m'
_symmetry_Int_Tables_number 176
_symmetry_space_group_name_Hall '-P 6c'
loop_
_atom_site_label
_atom_site_fract_x
_atom_site_fract_y
_atom_site_fract_z
Pr1 0.3333 0.6667 0.2500
Y1 0.0491 0.2438 0.2500
Sc1 0.0980 0.4838 0.7500



No. 9
# PrY3Sc7, relaxed, DFT PBE
# DFT formation energy	0.292	eV/atom
data_PrY3Sc7
_chemical_formula_sum 'Pr2 Y6 Sc14'
_cell_length_a 12.1325
_cell_length_b 10.5311
_cell_length_c 5.4777
_cell_angle_alpha 90.00
_cell_angle_beta 116.70
_cell_angle_gamma 90.00
_symmetry_space_group_name_H-M 'C 1 2/m 1'
_symmetry_Int_Tables_number 12
loop_
_symmetry_equiv_pos_as_xyz
'x,y,z'
'-x,-y,-z'
'-x,y,-z'
'x,-y,z'
'x+1/2,y+1/2,z'
'-x+1/2,-y+1/2,-z'
'-x+1/2,y+1/2,-z'
'x+1/2,-y+1/2,z'
loop_
_atom_site_label
_atom_site_fract_x
_atom_site_fract_y
_atom_site_fract_z
Pr1 0.0000 0.0000 0.0000
Y1 0.0000 0.2918 0.5000
Y2 0.0000 0.5000 0.0000
Sc1 0.0000 0.0000 0.5000
Sc2 0.2091 0.5000 0.7083
Sc3 0.2197 0.3110 0.2196



No. 10
# Pr5Y4Sc2, relaxed, DFT PBE
# DFT formation energy	0.239	eV/atom
# excess energy over the best structure of this formula in the dataset	1.77	eV per formula unit
data_Pr5Y4Sc2
_chemical_formula_sum 'Pr10 Y8 Sc4'
_cell_length_a 3.5127
_cell_length_b 9.2834
_cell_length_c 23.1398
_cell_angle_alpha 90.00
_cell_angle_beta 90.00
_cell_angle_gamma 90.00
_symmetry_space_group_name_H-M 'I m m m'
_symmetry_Int_Tables_number 71
_symmetry_space_group_name_Hall '-I 2 2'
loop_
_atom_site_label
_atom_site_fract_x
_atom_site_fract_y
_atom_site_fract_z
Pr1 0.0000 0.0000 0.0000
Pr2 0.0000 0.2948 0.3464
Y1 0.0000 0.1884 0.5000
Y2 0.0000 0.5000 0.0998
Sc1 0.0000 0.5000 0.2304



No. 11
# Pr2Y2Sc, relaxed, DFT PBE
# DFT formation energy	0.040	eV/atom
# excess energy over the best structure of this formula in the dataset	0.00	eV per formula unit
data_Pr2Y2Sc
_chemical_formula_sum 'Pr8 Y8 Sc4'
_cell_length_a 15.7549
_cell_length_b 6.2415
_cell_length_c 6.7823
_cell_angle_alpha 90.00
_cell_angle_beta 104.08
_cell_angle_gamma 90.00
_symmetry_space_group_name_H-M 'C 1 2/c 1'
_symmetry_Int_Tables_number 15
loop_
_symmetry_equiv_pos_as_xyz
'x,y,z'
'-x,-y,-z'
'-x,y,-z+1/2'
'x,-y,z+1/2'
'x+1/2,y+1/2,z'
'-x+1/2,-y+1/2,-z'
'-x+1/2,y+1/2,-z+1/2'
'x+1/2,-y+1/2,z+1/2'
loop_
_atom_site_label
_atom_site_fract_x
_atom_site_fract_y
_atom_site_fract_z
Pr1 0.0990 0.0849 0.4529
Y1 0.1957 0.4199 0.1470
Sc1 0.0000 0.4223 0.7500



No. 12
# Pr6Y2Sc, relaxed, DFT PBE
# DFT formation energy	0.153	eV/atom
# excess energy over the best structure of this formula in the dataset	0.00	eV per formula unit
data_Pr6Y2Sc
_chemical_formula_sum 'Pr12 Y4 Sc2'
_cell_length_a 10.2441
_cell_length_b 7.2873
_cell_length_c 8.6001
_cell_angle_alpha 90.00
_cell_angle_beta 106.42
_cell_angle_gamma 90.00
_symmetry_space_group_name_H-M 'C 1 2/m 1'
_symmetry_Int_Tables_number 12
loop_
_symmetry_equiv_pos_as_xyz
'x,y,z'
'-x,-y,-z'
'-x,y,-z'
'x,-y,z'
'x+1/2,y+1/2,z'
'-x+1/2,-y+1/2,-z'
'-x+1/2,y+1/2,-z'
'x+1/2,-y+1/2,z'
loop_
_atom_site_label
_atom_site_fract_x
_atom_site_fract_y
_atom_site_fract_z
Pr1 0.0559 0.2398 0.2094
Pr2 0.1709 0.0000 0.5891
Y1 0.2246 0.5000 0.9562
Sc1 0.0000 0.5000 0.5000



Look up the DFT formation energy of the seventh one.
0.243 eV/atom